# 1
The following is a GGA-PBE calculation of a relaxed structure of Th2AlGa4Pd3, from Alexandria.

The structure in POSCAR format:
```
Th2AlGa4Pd3
1.0
4.2685 0.0000 0.0000
0.0000 4.2685 0.0000
0.0000 0.0000 10.6665
Th Al Ga Pd
2 1 4 3
Cartesian
2.1343 0.0000 2.6072
0.0000 2.1343 8.0594
2.1343 2.1343 5.3333
2.1343 2.1343 0.0000
0.0000 0.0000 0.0000
2.1343 0.0000 6.8055
0.0000 2.1343 3.8610
0.0000 0.0000 5.3333
2.1343 0.0000 9.2729
0.0000 2.1343 1.3936
```

Computed properties:
formation enthalpy at 0 K = -736 meV/atom
space-group type = P-4m2, No. 115


# 2
The following is a GGA-PBE calculation of a relaxed structure of LiPmNiAs2, from Alexandria.

The structure in POSCAR format:
```
LiPmNiAs2
1.0
-1.5745 -3.6960 -0.5965
3.6477 -1.6602 0.6585
-2.1324 2.3136 5.1201
Li Pm Ni As
1 1 1 2
Cartesian
-1.3352 -2.0303 2.2773
0.0000 0.0000 0.0000
1.2759 -1.0124 2.9048
0.7583 -2.7707 1.3387
-0.8177 -0.2720 3.8433
```

Computed properties:
formation enthalpy at 0 K = -850 meV/atom
space-group type = I-4m2, No. 119


# 3
The following is a GGA-PBE calculation of a relaxed structure of AcAgSb, from Alexandria.

The structure in POSCAR format:
```
AcAgSb
1.0
-1.0747 4.0829 -1.6171
-2.5991 0.8579 3.8934
4.6103 1.1777 -0.0905
Sb Ac Ag
1 1 1
Cartesian
-0.1779 0.6759 -0.2677
1.4911 3.7911 0.1601
-0.3768 1.6514 2.2933
```

Computed properties:
space-group type = P3m1, No. 156
raw formation energy = -715 meV per atom


# 4
The following is a GGA-PBE calculation of a relaxed structure of AcSm5DyY2, from Alexandria.

The structure in POSCAR format:
```
AcSm5DyY2
1.0
5.5705 0.0000 0.0000
-2.7852 12.1975 0.0000
0.0000 0.0000 9.4040
Ac Sm Dy Y
2 10 2 4
Cartesian
2.7852 2.4899 8.7375
0.0000 9.7076 4.0355
0.0000 9.6444 0.2626
2.7852 5.9002 8.1601
0.0000 11.6228 7.0507
0.0000 7.5130 6.8192
0.0000 0.2299 4.9630
2.7852 2.5531 4.9646
0.0000 6.2973 3.4581
2.7852 0.5747 2.3487
2.7852 4.6845 2.1172
2.7852 11.9676 0.2609
2.7852 6.3298 5.0774
0.0000 5.8677 0.3754
2.7852 9.4510 7.2998
0.0000 4.1818 6.3986
0.0000 2.7465 2.5977
2.7852 8.0157 1.6966
```

Computed properties:
formation enthalpy at 0 K = 142 meV/atom
space-group type = Cmc2_1, No. 36


# 5
The following is a GGA-PBE calculation of a relaxed structure of RbCa2Tl, from Alexandria.

The structure in POSCAR format:
```
RbCa2Tl
1.0
-1.8743 -3.1150 1.6238
0.2985 -1.9751 -3.4443
9.7327 -4.1699 3.2349
Tl Ca Rb
1 2 1
Cartesian
-0.7879 -2.5451 -0.9102
8.1244 -3.4809 2.7003
1.6083 -0.6891 0.5345
4.0784 -4.6300 0.7072
```

Computed properties:
formation enthalpy at 0 K = -115 meV/atom
space-group type = P4/mmm, No. 123


# 6
The following is a GGA-PBE calculation of a relaxed structure of Ca3Ag8, from Alexandria.

The structure in POSCAR format:
```
Ca3Ag8
1.0
-3.9964 -3.7133 -6.7238
-1.2939 -4.7612 7.1151
-3.1994 7.9515 1.2270
Ag Ca
16 6
Cartesian
-0.6470 -2.3806 3.5576
-4.2449 -0.2615 0.8092
-1.5997 3.9758 0.6135
-1.9982 -1.8566 -3.3619
-3.0726 -4.0715 -1.9929
-4.4938 -3.0625 0.6456
-3.9960 2.5395 0.9727
-2.2178 -4.4030 2.3842
-2.5480 3.6056 3.2399
-4.2685 -1.4482 -1.7453
-4.2213 0.9252 3.3636
-1.9453 -0.4153 5.1022
-3.3446 -1.8064 2.9856
-3.7240 0.2744 -4.0058
-3.4719 3.9639 -1.4910
-5.1452 1.2835 -1.3673
-3.8146 -6.1106 0.2822
-1.4757 -2.3639 0.1092
-3.2399 2.3004 6.0151
-1.2534 0.8899 2.3270
-2.0073 1.1822 -1.5333
-5.1886 3.0560 -3.9635
```

Computed properties:
formation enthalpy at 0 K = -216 meV/atom
space-group type = Im-3m, No. 229


# 7
The following is a GGA-PBE calculation of a relaxed structure of NaSc2C, from Alexandria.

The structure in POSCAR format:
```
NaSc2C
1.0
1.9433 0.0000 10.2353
-0.9716 1.6829 10.2353
-0.9716 -1.6829 10.2353
Sc Na C
2 1 1
Cartesian
0.0000 0.0000 28.6369
0.0000 0.0000 2.0690
0.0000 0.0000 15.3529
0.0000 0.0000 0.0000
```

Computed properties:
formation enthalpy at 0 K = 1065 meV/atom
space-group type = R-3m, No. 166


# 8
The following is a GGA-PBE calculation of a relaxed structure of PrSmBr5, from Alexandria.

The structure in POSCAR format:
```
PrSmBr5
1.0
4.1243 0.0000 0.0000
0.0000 8.5061 -0.5097
0.0000 -0.1590 13.7910
Pr Sm Br
2 2 10
Cartesian
3.0932 0.8285 2.0536
1.0311 7.5186 11.2277
1.0311 3.5062 4.5385
3.0932 4.8409 8.7428
1.0311 0.5147 4.2481
3.0932 1.0173 12.7370
3.0932 2.6532 6.5023
1.0311 2.9713 1.5806
1.0311 2.9970 9.6221
3.0932 5.3501 3.6592
3.0932 5.3758 11.7007
1.0311 5.6939 6.7790
1.0311 7.3297 0.5443
3.0932 7.8324 9.0332
```

Computed properties:
space-group type = P2_1/m, No. 11
raw formation energy = -1813 meV per atom


# 9
The following is a GGA-PBE calculation of a relaxed structure of LaTl2Sn, from Alexandria.

The structure in POSCAR format:
```
LaTl2Sn
1.0
3.5921 0.0000 0.0000
1.7960 3.1108 0.0000
1.7960 1.0369 11.6705
Tl Sn La
2 1 1
Cartesian
1.7960 1.0369 8.3928
5.3881 3.1108 3.2777
3.5921 2.0739 5.8352
0.0000 0.0000 0.0000
```

Computed properties:
formation enthalpy at 0 K = 73 meV/atom
space-group type = R-3m, No. 166


# 10
The following is a GGA-PBE calculation of a relaxed structure of BeNb2Sb, from Alexandria.

The structure in POSCAR format:
```
BeNb2Sb
1.0
-1.3391 0.5431 -3.5928
-0.7740 -3.7837 -0.2835
-10.1174 -0.0377 1.6782
Sb Nb Be
2 4 2
Cartesian
0.0000 0.0000 0.0000
-6.2565 -0.5574 -1.9263
-3.4505 -0.1480 -1.8278
-3.1930 -2.3013 -0.2403
-8.3877 -1.2788 -0.1976
-9.4298 -2.8284 -2.1304
-1.0566 -1.6203 -1.9381
-5.9740 -2.7208 -0.2717
```

Computed properties:
space-group type = I-42d, No. 122
raw formation energy = 415 meV per atom


# 11
The following is a GGA-PBE calculation of a relaxed structure of RbCa2In6, from Alexandria.

The structure in POSCAR format:
```
RbCa2In6
1.0
-4.0961 -0.7686 0.9385
-2.3989 3.5504 -7.5630
3.7551 -8.1433 -0.0186
Rb Ca In
1 2 6
Cartesian
-4.0961 -0.7686 0.9384
-1.6768 -5.3248 -1.9678
-1.0632 -0.0367 -4.6753
-3.8153 0.0365 -6.9187
1.0753 -5.3980 0.2756
-0.4378 -3.1586 -4.4947
-2.8363 0.7823 -2.0158
-3.6588 1.9995 -4.6087
-2.3022 -2.2029 -2.1485
```

Computed properties:
formation enthalpy at 0 K = -229 meV/atom
space-group type = Immm, No. 71


# 12
The following is a GGA-PBE calculation of a relaxed structure of BaIn2P, from Alexandria.

The structure in POSCAR format:
```
BaIn2P
1.0
-3.1584 -1.4484 -1.6360
-0.6635 -2.1040 3.1437
-4.1226 5.6793 2.9310
Ba In P
1 2 1
Cartesian
-5.0029 2.4832 2.9521
-0.2704 0.3725 0.1922
-1.7909 2.4671 1.2732
-2.9416 -0.3564 1.4866
```

Computed properties:
formation enthalpy at 0 K = -180 meV/atom
space-group type = P4/mmm, No. 123


# 13
The following is a GGA-PBE calculation of a relaxed structure of LaNbMoRh2, from Alexandria.

The structure in POSCAR format:
```
LaNbMoRh2
1.0
-0.8913 1.1786 -4.4548
-3.4609 -3.8255 -0.3197
-3.3701 2.9278 1.4488
Mo Rh Nb La
1 2 1 1
Cartesian
0.0000 0.0000 0.0000
-1.6851 1.4639 0.7244
-0.4456 0.5893 -2.2274
-3.8612 0.1404 -1.6628
-1.7305 -1.9128 -0.1598
```

Computed properties:
formation enthalpy at 0 K = 1104 meV/atom
space-group type = P4/mmm, No. 123


# 14
The following is a GGA-PBE calculation of a relaxed structure of Mg2Be2Nb, from Alexandria.

The structure in POSCAR format:
```
Mg2Be2Nb
1.0
7.2039 0.0000 0.0000
0.0000 7.2039 0.0000
0.0000 0.0000 2.9111
Be Nb Mg
4 2 4
Cartesian
2.7310 6.3329 0.0000
6.3329 4.4729 0.0000
4.4729 0.8710 0.0000
0.8710 2.7310 0.0000
0.0000 0.0000 0.0000
3.6019 3.6019 0.0000
1.2629 4.8648 1.4555
4.8648 5.9410 1.4555
5.9410 2.3391 1.4555
2.3391 1.2629 1.4555
```

Computed properties:
formation enthalpy at 0 K = 335 meV/atom
space-group type = P4/mbm, No. 127


# 15
The following is a GGA-PBE calculation of a relaxed structure of Na2BeCl, from Alexandria.

The structure in POSCAR format:
```
Na2BeCl
1.0
2.1544 -4.5470 1.0073
-2.1084 -4.3018 -1.8387
2.3476 -2.6120 -3.7414
Na Be Cl
2 1 1
Cartesian
0.5984 -2.8652 -1.1432
1.7952 -8.5956 -3.4297
0.0000 0.0000 0.0000
1.1968 -5.7304 -2.2864
```

Computed properties:
space-group type = Fm-3m, No. 225
raw formation energy = -3 meV per atom


# 16
The following is a GGA-PBE calculation of a relaxed structure of Tl3Te, from Alexandria.

The structure in POSCAR format:
```
Tl3Te
1.0
5.7109 0.0000 0.0000
2.8554 4.9458 0.0000
2.8554 1.6486 4.6629
Te Tl
1 3
Cartesian
0.0000 0.0000 0.0000
2.8554 1.6486 1.1657
5.7109 3.2972 2.3315
8.5663 4.9458 3.4972
```

Computed properties:
space-group type = Fm-3m, No. 225
raw formation energy = -105 meV per atom


# 17
The following is a GGA-PBE calculation of a relaxed structure of AlSiSe2, from Alexandria.

The structure in POSCAR format:
```
AlSiSe2
1.0
3.4847 0.0000 0.0000
0.0000 6.9192 -0.1621
0.0000 1.5441 4.2731
Si Al Se
1 1 2
Cartesian
0.0000 4.6693 1.7441
1.7423 5.9236 3.3305
0.0000 7.5744 4.0737
1.7423 2.9908 1.1292
```

Computed properties:
space-group type = Pm, No. 6
raw formation energy = -369 meV per atom


# 18
The following is a GGA-PBE calculation of a relaxed structure of BeInP2S, from Alexandria.

The structure in POSCAR format:
```
BeInP2S
1.0
-2.1125 -4.3133 1.5000
2.9235 -2.5470 -3.2068
3.4750 -0.4703 3.5416
P S Be In
2 1 1 1
Cartesian
1.4617 -1.2735 -1.6034
-1.0563 -2.1567 0.7500
1.7375 -0.2352 1.7708
2.1430 -3.6653 0.9174
0.0000 0.0000 0.0000
```

Computed properties:
space-group type = P4/mmm, No. 123
raw formation energy = 1489 meV per atom


# 19
The following is a GGA-PBE calculation of a relaxed structure of TcRu2Pb, from Alexandria.

The structure in POSCAR format:
```
TcRu2Pb
1.0
-4.5858 2.2501 -1.5319
-4.0425 -0.1178 3.4761
4.9946 1.6318 -0.9114
Pb Ru Tc
1 2 1
Cartesian
-1.6845 1.2909 1.7692
-0.0724 0.0179 0.0163
-1.8866 2.4577 -0.7505
-4.3044 1.0637 0.9699
```

Computed properties:
formation enthalpy at 0 K = 646 meV/atom
space-group type = Imm2, No. 44


# 20
The following is a GGA-PBE calculation of a relaxed structure of Mg3TcP, from Alexandria.

The structure in POSCAR format:
```
Mg3TcP
1.0
-0.4111 0.0305 4.9788
-3.8657 -3.1504 -0.2999
3.1378 -3.8772 0.2828
P Mg Tc
1 3 1
Cartesian
-0.5695 -3.4986 2.4809
-1.9329 -1.5752 -0.1500
1.5689 -1.9386 0.1414
-0.2056 0.0152 2.4894
0.0000 0.0000 0.0000
```

Computed properties:
formation enthalpy at 0 K = 1050 meV/atom
space-group type = Pm-3m, No. 221


| no. | magnetic moment (μB per cell) | calculated volume (Å³/cell) |
| --- | --- | --- |
| 1 | 0.00 | 194.3 |
| 2 | 0.00 | 87.1 |
| 3 | 0.00 | 88.7 |
| 4 | 0.00 | 639.0 |
| 5 | 0.00 | 175.5 |
| 6 | 0.00 | 499.7 |
| 7 | 0.00 | 100.4 |
| 8 | 2.01 | 483.5 |
| 9 | 0.00 | 130.4 |
| 10 | 0.00 | 148.2 |
| 11 | 0.00 | 280.2 |
| 12 | 0.00 | 112.2 |
| 13 | 0.01 | 113.9 |
| 14 | 0.00 | 151.1 |
| 15 | 0.00 | 95.5 |
| 16 | 0.00 | 131.7 |
| 17 | 0.00 | 103.9 |
| 18 | 0.99 | 126.2 |
| 19 | 0.00 | 65.5 |
| 20 | 2.00 | 124.7 |